No. 1
This record from Alexandria via LeMat-Bulk describes Mg2TlTc after structural relaxation. The functional is PBE-GGA.

For the total magnetization, the calculation gives 0.00 μB/atom. The calculation puts the volume at 75 Å³ per cell. The energy relative to the elements is 374.7 meV per atom. As for the energy above the most stable polymorph in this dataset: 0.1613 eV per atom. The calculation puts the density of states at the Fermi level at 2.63 states/eV per cell. The total energy is -3.606 eV per atom. For the calculated density, the calculation gives 7.8 g cm⁻³.

a b c (Å): 4.737 4.737 4.737
angles (deg): 60.00 60.00 60.00
Atoms (fractional coordinates):
Mg1 0.000 0.000 0.000
Mg2 0.250 0.250 0.250
Tc1 0.500 0.500 0.500
Tl1 0.750 0.750 0.750

***

No. 2
This record from Alexandria via LeMat-Bulk describes Mg2TlTc after structural relaxation. The functional is PBE-GGA.

For the total magnetization, the calculation gives 0.22 μB/atom. The calculation puts the volume at 80 Å³ per cell. The energy relative to the elements is 313.9 meV per atom. As for the energy above the most stable polymorph in this dataset: 0.1005 eV per atom. The calculation puts the density of states at the Fermi level at 2.22 states/eV per cell. The total energy is -3.666 eV per atom. For the calculated density, the calculation gives 7.3 g cm⁻³.

a b c (Å): 9.662 9.662 9.662
angles (deg): 18.62 18.62 18.62
Site moments in Bohr magnetons follow the coordinates.
Atoms (fractional coordinates):
Mg1 0.991 0.991 0.991  0.00
Mg2 0.509 0.509 0.509  0.00
Tc1 0.250 0.250 0.250  0.80
Tl1 0.750 0.750 0.750  0.00

***

No. 3
This record from Alexandria via LeMat-Bulk describes Mg2TlTc after structural relaxation. The functional is PBE-GGA.

For the total magnetization, the calculation gives 0.00 μB/atom. The calculation puts the volume at 164 Å³ per cell. The energy relative to the elements is 551.0 meV per atom. As for the energy above the most stable polymorph in this dataset: 0.3376 eV per atom. The calculation puts the density of states at the Fermi level at 0.50 states/eV per cell. The total energy is -3.429 eV per atom. For the calculated density, the calculation gives 7.1 g cm⁻³.

a b c (Å): 7.597 7.597 6.076
angles (deg): 51.30 51.30 90.00
Atoms (fractional coordinates):
Mg1 0.606 0.125 0.250
Mg2 0.144 0.625 0.250
Mg3 0.375 0.394 0.750
Mg4 0.875 0.856 0.750
Tl1 0.000 0.000 0.000
Tl2 0.750 0.250 0.500
Tc1 0.500 0.500 0.000
Tc2 0.250 0.750 0.500

***

No. 4
This record from Alexandria via LeMat-Bulk describes Mg2TlTc after structural relaxation. The functional is PBE-GGA.

For the total magnetization, the calculation gives 0.00 μB/atom. The calculation puts the volume at 81 Å³ per cell. The energy relative to the elements is 408.5 meV per atom. As for the energy above the most stable polymorph in this dataset: 0.1951 eV per atom. The calculation puts the density of states at the Fermi level at 3.17 states/eV per cell. The total energy is -3.572 eV per atom. For the calculated density, the calculation gives 7.2 g cm⁻³.

a b c (Å): 2.979 2.979 9.534
angles (deg): 90.00 90.00 106.15
Atoms (fractional coordinates):
Mg1 0.000 0.000 0.008
Mg2 0.500 0.500 0.274
Tc1 0.000 0.000 0.489
Tl1 0.500 0.500 0.728

***

No. 5
This record from Alexandria via LeMat-Bulk describes Mg2TlTc after structural relaxation. The functional is PBE-GGA.

For the total magnetization, the calculation gives 0.16 μB/atom. The calculation puts the volume at 76 Å³ per cell. The energy relative to the elements is 285.4 meV per atom. As for the energy above the most stable polymorph in this dataset: 0.0721 eV per atom. The calculation puts the density of states at the Fermi level at 3.86 states/eV per cell. The total energy is -3.695 eV per atom. For the calculated density, the calculation gives 7.7 g cm⁻³.

a b c (Å): 5.340 5.340 5.340
angles (deg): 134.79 134.79 65.85
Site moments in Bohr magnetons follow the coordinates.
Atoms (fractional coordinates):
Mg1 0.000 0.000 0.000  -0.01
Mg2 0.500 0.500 0.000  -0.01
Tc1 0.250 0.750 0.500  0.65
Tl1 0.750 0.250 0.500  -0.02

***

No. 6
This record from Alexandria via LeMat-Bulk describes Mg2TlTc after structural relaxation. The functional is PBE-GGA.

For the total magnetization, the calculation gives 0.00 μB/atom. The calculation puts the volume at 76 Å³ per cell. The energy relative to the elements is 282.2 meV per atom. As for the energy above the most stable polymorph in this dataset: 0.0689 eV per atom. The calculation puts the density of states at the Fermi level at 2.83 states/eV per cell. The total energy is -3.698 eV per atom. For the calculated density, the calculation gives 7.7 g cm⁻³.

a b c (Å): 4.237 3.001 6.657
angles (deg): 64.13 90.00 90.00
Atoms (fractional coordinates):
Mg1 0.000 0.976 0.026
Mg2 0.000 0.524 0.474
Tc1 0.500 0.250 0.250
Tl1 0.500 0.750 0.750

***

No. 7
This record from Alexandria via LeMat-Bulk describes Mg2TlTc after structural relaxation. The functional is PBE-GGA.

For the total magnetization, the calculation gives 0.00 μB/atom. The calculation puts the volume at 74 Å³ per cell. The energy relative to the elements is 213.4 meV per atom. As for the energy above the most stable polymorph in this dataset: 0.0000 eV per atom. The calculation puts the density of states at the Fermi level at 0.20 states/eV per cell. The total energy is -3.767 eV per atom. For the calculated density, the calculation gives 7.9 g cm⁻³.

a b c (Å): 5.360 5.360 5.360
angles (deg): 135.91 135.87 64.14
Atoms (fractional coordinates):
Mg1 0.000 0.000 0.000
Mg2 0.250 0.750 0.500
Tc1 0.500 0.500 0.000
Tl1 0.750 0.250 0.500

***

No. 8
This record from Alexandria via LeMat-Bulk describes Mg2TlTc after structural relaxation. The functional is PBE-GGA.

For the total magnetization, the calculation gives 0.10 μB/atom. The calculation puts the volume at 77 Å³ per cell. The energy relative to the elements is 319.3 meV per atom. As for the energy above the most stable polymorph in this dataset: 0.1060 eV per atom. The calculation puts the density of states at the Fermi level at 3.30 states/eV per cell. The total energy is -3.661 eV per atom. For the calculated density, the calculation gives 7.6 g cm⁻³.

a b c (Å): 3.531 3.531 6.169
angles (deg): 90.00 90.00 90.00
Site moments in Bohr magnetons follow the coordinates.
Atoms (fractional coordinates):
Mg1 0.000 0.000 0.006  0.00
Mg2 0.500 0.500 0.276  0.00
Tc1 0.000 0.000 0.486  0.41
Tl1 0.500 0.500 0.732  -0.01

***

No. 9
This record from Alexandria via LeMat-Bulk describes Mg2TlTc after structural relaxation. The functional is PBE-GGA.

For the total magnetization, the calculation gives 0.09 μB/atom. The calculation puts the volume at 76 Å³ per cell. The energy relative to the elements is 265.2 meV per atom. As for the energy above the most stable polymorph in this dataset: 0.0518 eV per atom. The calculation puts the density of states at the Fermi level at 2.97 states/eV per cell. The total energy is -3.715 eV per atom. For the calculated density, the calculation gives 7.6 g cm⁻³.

a b c (Å): 5.624 5.624 4.620
angles (deg): 65.77 65.77 35.33
Site moments in Bohr magnetons follow the coordinates.
Atoms (fractional coordinates):
Mg1 0.020 0.020 0.980  0.00
Mg2 0.480 0.480 0.520  0.00
Tc1 0.750 0.750 0.750  0.32
Tl1 0.250 0.250 0.250  -0.01

***

No. 10
This record from Alexandria via LeMat-Bulk describes MgTlTc4 after structural relaxation. The functional is PBE-GGA.

For the total magnetization, the calculation gives 0.00 μB/atom. The calculation puts the volume at 102 Å³ per cell. The energy relative to the elements is 417.4 meV per atom. The calculation puts the density of states at the Fermi level at 6.02 states/eV per cell. The total energy is -7.153 eV per atom. For the calculated density, the calculation gives 10.1 g cm⁻³.

a b c (Å): 5.253 5.253 5.253
angles (deg): 60.00 60.00 60.00
Atoms (fractional coordinates):
Mg1 0.000 0.000 0.000
Tl1 0.750 0.750 0.750
Tc1 0.875 0.375 0.375
Tc2 0.375 0.375 0.875
Tc3 0.375 0.875 0.375
Tc4 0.375 0.375 0.375

***

No. 11
This record from Alexandria via LeMat-Bulk describes Mg2TlTc after structural relaxation. The functional is PBE-GGA.

For the total magnetization, the calculation gives 0.00 μB/atom. The calculation puts the volume at 81 Å³ per cell. The energy relative to the elements is 278.7 meV per atom. As for the energy above the most stable polymorph in this dataset: 0.0654 eV per atom. The calculation puts the density of states at the Fermi level at 2.99 states/eV per cell. The total energy is -3.702 eV per atom. For the calculated density, the calculation gives 7.2 g cm⁻³.

a b c (Å): 2.978 2.978 9.391
angles (deg): 90.00 90.00 104.24
Atoms (fractional coordinates):
Mg1 0.000 0.000 0.036
Mg2 0.000 0.000 0.464
Tc1 0.500 0.500 0.250
Tl1 0.500 0.500 0.750

***

No. 12
This record from Alexandria via LeMat-Bulk describes Mg2TlTc after structural relaxation. The functional is PBE-GGA.

For the total magnetization, the calculation gives 0.00 μB/atom. The calculation puts the volume at 76 Å³ per cell. The energy relative to the elements is 280.5 meV per atom. As for the energy above the most stable polymorph in this dataset: 0.0672 eV per atom. The calculation puts the density of states at the Fermi level at 1.93 states/eV per cell. The total energy is -3.700 eV per atom. For the calculated density, the calculation gives 7.6 g cm⁻³.

a b c (Å): 4.892 2.921 5.351
angles (deg): 90.00 90.00 90.00
Atoms (fractional coordinates):
Mg1 0.000 0.125 0.974
Mg2 0.500 0.125 0.297
Tc1 0.000 0.625 0.457
Tl1 0.500 0.625 0.772

***

Which formula does entry 11 have?
Mg2TlTc

***

What is the formula in the third record?
Mg2TlTc

***

Which value of calculated density does entry 11 give?
7.2 g cm⁻³

***

Among the records above, which one has the highest energy relative to the elements?
number 3